Version a
VASP calculation (PBE) on HfMoIr after structural relaxation.

The structure in CIF format:
```
data_HfMoIr
_chemical_formula_sum 'Hf1 Mo1 Ir1'
_space_group_name_H-M_alt 'P 1'
_space_group_IT_number 1
_cell_length_a 4.3992
_cell_length_b 4.3992
_cell_length_c 4.3992
_cell_angle_alpha 60.00
_cell_angle_beta 60.00
_cell_angle_gamma 60.00
loop_
_space_group_symop_operation_xyz
'x,y,z'
loop_
_atom_site_label
_atom_site_type_symbol
_atom_site_fract_x
_atom_site_fract_y
_atom_site_fract_z
Hf1 Hf 0.0000 0.0000 0.0000
Mo1 Mo 0.2500 0.2500 0.2500
Ir1 Ir 0.7500 0.7500 0.7500
```

Total magnetization   2.3 μB per formula unit

---

Version b
VASP calculation (PBE) on HfMoIr after structural relaxation.

The structure in CIF format:
```
data_HfMoIr
_chemical_formula_sum 'Hf1 Mo1 Ir1'
_space_group_name_H-M_alt 'P 1'
_space_group_IT_number 1
_cell_length_a 4.3896
_cell_length_b 4.3896
_cell_length_c 4.3896
_cell_angle_alpha 60.00
_cell_angle_beta 60.00
_cell_angle_gamma 60.00
loop_
_space_group_symop_operation_xyz
'x,y,z'
loop_
_atom_site_label
_atom_site_type_symbol
_atom_site_fract_x
_atom_site_fract_y
_atom_site_fract_z
Hf1 Hf 0.0000 0.0000 0.0000
Mo1 Mo 0.5000 0.5000 0.5000
Ir1 Ir 0.2500 0.2500 0.2500
```

Total magnetization   0.0 μB per formula unit

---

Top of the stability list: version b, leading by 0.617 eV/atom.

---

Version a
VASP calculation (PBE) on Hf2MoIr after structural relaxation.

The structure in CIF format:
```
data_Hf2MoIr
_chemical_formula_sum 'Hf8 Mo4 Ir4'
_space_group_name_H-M_alt 'P 1'
_space_group_IT_number 1
_cell_length_a 7.3765
_cell_length_b 7.2397
_cell_length_c 5.8251
_cell_angle_alpha 90.00
_cell_angle_beta 90.00
_cell_angle_gamma 90.00
loop_
_space_group_symop_operation_xyz
'x,y,z'
loop_
_atom_site_label
_atom_site_type_symbol
_atom_site_fract_x
_atom_site_fract_y
_atom_site_fract_z
Hf1 Hf 0.1892 0.0196 0.1491
Hf2 Hf 0.1892 0.4804 0.1491
Hf3 Hf 0.3108 0.5196 0.6491
Hf4 Hf 0.3108 0.9804 0.6491
Hf5 Hf 0.6892 0.0196 0.3509
Hf6 Hf 0.6892 0.4804 0.3509
Hf7 Hf 0.8108 0.5196 0.8509
Hf8 Hf 0.8108 0.9804 0.8509
Mo1 Mo 0.0193 0.2500 0.5881
Mo2 Mo 0.4807 0.7500 0.0881
Mo3 Mo 0.5193 0.2500 0.9119
Mo4 Mo 0.9807 0.7500 0.4119
Ir1 Ir 0.0911 0.7500 0.8633
Ir2 Ir 0.4089 0.2500 0.3633
Ir3 Ir 0.5911 0.7500 0.6367
Ir4 Ir 0.9089 0.2500 0.1367
```

Total magnetization   0.0 μB per formula unit

---

Version b
VASP calculation (PBE) on Hf2MoIr after structural relaxation.

The structure in CIF format:
```
data_Hf2MoIr
_chemical_formula_sum 'Hf2 Mo1 Ir1'
_space_group_name_H-M_alt 'P 1'
_space_group_IT_number 1
_cell_length_a 4.6342
_cell_length_b 4.6342
_cell_length_c 4.6342
_cell_angle_alpha 60.00
_cell_angle_beta 60.00
_cell_angle_gamma 60.00
loop_
_space_group_symop_operation_xyz
'x,y,z'
loop_
_atom_site_label
_atom_site_type_symbol
_atom_site_fract_x
_atom_site_fract_y
_atom_site_fract_z
Hf1 Hf 0.2500 0.2500 0.2500
Hf2 Hf 0.7500 0.7500 0.7500
Mo1 Mo 0.0000 0.0000 0.0000
Ir1 Ir 0.5000 0.5000 0.5000
```

Total magnetization   0.0 μB per formula unit

---

Version c
VASP calculation (PBE) on Hf2MoIr after structural relaxation.

The structure in CIF format:
```
data_Hf2MoIr
_chemical_formula_sum 'Hf2 Mo1 Ir1'
_space_group_name_H-M_alt 'P 1'
_space_group_IT_number 1
_cell_length_a 4.6286
_cell_length_b 4.6286
_cell_length_c 3.2989
_cell_angle_alpha 90.00
_cell_angle_beta 90.00
_cell_angle_gamma 90.00
loop_
_space_group_symop_operation_xyz
'x,y,z'
loop_
_atom_site_label
_atom_site_type_symbol
_atom_site_fract_x
_atom_site_fract_y
_atom_site_fract_z
Hf1 Hf 0.0000 0.5000 0.0000
Hf2 Hf 0.5000 0.0000 0.0000
Mo1 Mo 0.0000 0.0000 0.5000
Ir1 Ir 0.5000 0.5000 0.5000
```

Total magnetization   0.0 μB per formula unit

---

Top of the stability list: version b, leading by 0.007 eV/atom.

---

Version a
VASP calculation (PBE) on Hf2MoIr after structural relaxation.

The structure in CIF format:
```
data_Hf2MoIr
_chemical_formula_sum 'Hf2 Mo1 Ir1'
_space_group_name_H-M_alt 'P 1'
_space_group_IT_number 1
_cell_length_a 4.6340
_cell_length_b 4.6340
_cell_length_c 4.6340
_cell_angle_alpha 60.00
_cell_angle_beta 60.00
_cell_angle_gamma 60.00
loop_
_space_group_symop_operation_xyz
'x,y,z'
loop_
_atom_site_label
_atom_site_type_symbol
_atom_site_fract_x
_atom_site_fract_y
_atom_site_fract_z
Hf1 Hf 0.2500 0.2500 0.2500
Hf2 Hf 0.7500 0.7500 0.7500
Mo1 Mo 0.0000 0.0000 0.0000
Ir1 Ir 0.5000 0.5000 0.5000
```

Total magnetization   0.1 μB per formula unit

---

Version b
VASP calculation (PBE) on Hf2MoIr after structural relaxation.

The structure in CIF format:
```
data_Hf2MoIr
_chemical_formula_sum 'Hf2 Mo1 Ir1'
_space_group_name_H-M_alt 'P 1'
_space_group_IT_number 1
_cell_length_a 4.6210
_cell_length_b 4.6210
_cell_length_c 4.6210
_cell_angle_alpha 60.00
_cell_angle_beta 60.00
_cell_angle_gamma 60.00
loop_
_space_group_symop_operation_xyz
'x,y,z'
loop_
_atom_site_label
_atom_site_type_symbol
_atom_site_fract_x
_atom_site_fract_y
_atom_site_fract_z
Hf1 Hf 0.0000 0.0000 0.0000
Hf2 Hf 0.2500 0.2500 0.2500
Mo1 Mo 0.5000 0.5000 0.5000
Ir1 Ir 0.7500 0.7500 0.7500
```

Total magnetization   0.0 μB per formula unit

---

Top of the stability list: version a, leading by 0.407 eV/atom.

---

Version a
VASP calculation (PBE) on NaHfIrPb after structural relaxation.

The structure in CIF format:
```
data_NaHfIrPb
_chemical_formula_sum 'Na1 Hf1 Ir1 Pb1'
_space_group_name_H-M_alt 'P 1'
_space_group_IT_number 1
_cell_length_a 4.7429
_cell_length_b 4.7429
_cell_length_c 4.7429
_cell_angle_alpha 60.00
_cell_angle_beta 60.00
_cell_angle_gamma 60.00
loop_
_space_group_symop_operation_xyz
'x,y,z'
loop_
_atom_site_label
_atom_site_type_symbol
_atom_site_fract_x
_atom_site_fract_y
_atom_site_fract_z
Na1 Na 0.0000 0.0000 0.0000
Hf1 Hf 0.7500 0.7500 0.7500
Ir1 Ir 0.5000 0.5000 0.5000
Pb1 Pb 0.2500 0.2500 0.2500
```

Total magnetization   0.0 μB per formula unit

---

Version b
VASP calculation (PBE) on NaHfIrPb after structural relaxation.

The structure in CIF format:
```
data_NaHfIrPb
_chemical_formula_sum 'Na1 Hf1 Ir1 Pb1'
_space_group_name_H-M_alt 'P 1'
_space_group_IT_number 1
_cell_length_a 4.8316
_cell_length_b 4.8316
_cell_length_c 4.8316
_cell_angle_alpha 60.00
_cell_angle_beta 60.00
_cell_angle_gamma 60.00
loop_
_space_group_symop_operation_xyz
'x,y,z'
loop_
_atom_site_label
_atom_site_type_symbol
_atom_site_fract_x
_atom_site_fract_y
_atom_site_fract_z
Na1 Na 0.0000 0.0000 0.0000
Hf1 Hf 0.5000 0.5000 0.5000
Ir1 Ir 0.7500 0.7500 0.7500
Pb1 Pb 0.2500 0.2500 0.2500
```

Total magnetization   0.0 μB per formula unit

---

Top of the stability list: version a, leading by 0.194 eV/atom.

---

Version a
VASP calculation (PBE) on NdHfIr after structural relaxation.

The structure in CIF format:
```
data_NdHfIr
_chemical_formula_sum 'Nd2 Hf2 Ir2'
_space_group_name_H-M_alt 'P 1'
_space_group_IT_number 1
_cell_length_a 4.6042
_cell_length_b 4.6042
_cell_length_c 6.8140
_cell_angle_alpha 90.00
_cell_angle_beta 90.00
_cell_angle_gamma 90.00
loop_
_space_group_symop_operation_xyz
'x,y,z'
loop_
_atom_site_label
_atom_site_type_symbol
_atom_site_fract_x
_atom_site_fract_y
_atom_site_fract_z
Nd1 Nd 0.2500 0.2500 0.1310
Nd2 Nd 0.7500 0.7500 0.8690
Hf1 Hf 0.2500 0.7500 0.5000
Hf2 Hf 0.7500 0.2500 0.5000
Ir1 Ir 0.2500 0.2500 0.7041
Ir2 Ir 0.7500 0.7500 0.2959
```

Total magnetization   0.0 μB per formula unit

---

Version b
VASP calculation (PBE) on NdHfIr after structural relaxation.

The structure in CIF format:
```
data_NdHfIr
_chemical_formula_sum 'Nd1 Hf1 Ir1'
_space_group_name_H-M_alt 'P 1'
_space_group_IT_number 1
_cell_length_a 4.6691
_cell_length_b 4.6691
_cell_length_c 4.6691
_cell_angle_alpha 60.00
_cell_angle_beta 60.00
_cell_angle_gamma 60.00
loop_
_space_group_symop_operation_xyz
'x,y,z'
loop_
_atom_site_label
_atom_site_type_symbol
_atom_site_fract_x
_atom_site_fract_y
_atom_site_fract_z
Nd1 Nd 0.0000 0.0000 0.0000
Hf1 Hf 0.7500 0.7500 0.7500
Ir1 Ir 0.2500 0.2500 0.2500
```

Total magnetization   0.0 μB per formula unit

---

Top of the stability list: version a, leading by 1.384 eV/atom.

---

Version a
VASP calculation (PBE) on HfIrPd after structural relaxation.

The structure in CIF format:
```
data_HfIrPd
_chemical_formula_sum 'Hf1 Ir1 Pd1'
_space_group_name_H-M_alt 'P 1'
_space_group_IT_number 1
_cell_length_a 4.3890
_cell_length_b 4.3890
_cell_length_c 4.3890
_cell_angle_alpha 60.00
_cell_angle_beta 60.00
_cell_angle_gamma 60.00
loop_
_space_group_symop_operation_xyz
'x,y,z'
loop_
_atom_site_label
_atom_site_type_symbol
_atom_site_fract_x
_atom_site_fract_y
_atom_site_fract_z
Hf1 Hf 0.0000 0.0000 0.0000
Ir1 Ir 0.2500 0.2500 0.2500
Pd1 Pd 0.5000 0.5000 0.5000
```

Total magnetization   0.0 μB per formula unit

---

Version b
VASP calculation (PBE) on HfIrPd after structural relaxation.

The structure in CIF format:
```
data_HfIrPd
_chemical_formula_sum 'Hf1 Ir1 Pd1'
_space_group_name_H-M_alt 'P 1'
_space_group_IT_number 1
_cell_length_a 4.3563
_cell_length_b 4.3563
_cell_length_c 4.3563
_cell_angle_alpha 60.00
_cell_angle_beta 60.00
_cell_angle_gamma 60.00
loop_
_space_group_symop_operation_xyz
'x,y,z'
loop_
_atom_site_label
_atom_site_type_symbol
_atom_site_fract_x
_atom_site_fract_y
_atom_site_fract_z
Hf1 Hf 0.0000 0.0000 0.0000
Ir1 Ir 0.7500 0.7500 0.7500
Pd1 Pd 0.2500 0.2500 0.2500
```

Total magnetization   0.0 μB per formula unit

---

Top of the stability list: version b, leading by 0.061 eV/atom.